Crystalline CuAgBr6 at its relaxed geometry. Source: Alexandria via LeMat-Bulk, functional PBE.

a b c (Å): 9.487 9.793 7.893
angles (deg): 76.59 51.31 42.65
Fractional positions:
Ag  0.500  0.500  0.500
Br  0.487  0.639  0.772
Br  0.858  0.552  0.210
Br  0.513  0.361  0.228
Br  0.142  0.448  0.790
Br  0.977  0.051  0.303
Br  0.023  0.949  0.697
Cu  0.000  0.000  0.000

D(E_F)   4.45 states/eV/f.u.
Crystal system   triclinic
Symmetry   No. 2

Crystalline Cs2NpTlO6 at its relaxed geometry. Source: Alexandria via LeMat-Bulk, functional PBE.

a b c (Å): 6.377 6.376 6.674
angles (deg): 58.47 58.50 84.59
Fractional positions:
Cs  0.750  0.250  0.500
Cs  0.250  0.750  0.500
O  0.296  0.295  0.409
O  0.768  0.234  0.998
O  0.295  0.295  0.000
O  0.705  0.705  0.000
O  0.232  0.766  0.002
O  0.704  0.705  0.591
Tl  0.000  0.000  0.000
Np  0.500  0.500  0.000

Crystal system   monoclinic
Symmetry   No. 12

Per-record spin magnetization, μB/f.u.: 0.00; 0.00
Per-record energy relative to the elements, uncorrected, kJ/mol of formula units: -121; -1809